Entry 1:
DFT (PBE) results for a geometry-optimized Li5B8C8 structure.

The structure in POSCAR format:
```
Li5B8C8
1.0
7.624 0.095 -1.355
6.109 4.568 -1.355
0.001 0.000 5.423
Li B C
5 8 8
direct
0.000 0.000 0.000
0.251 0.249 0.625
0.749 0.751 0.375
0.750 0.750 0.875
0.250 0.250 0.125
0.540 0.210 0.437
0.039 0.706 0.685
0.460 0.790 0.563
0.039 0.706 0.188
0.463 0.790 0.063
0.961 0.294 0.812
0.537 0.210 0.937
0.961 0.294 0.315
0.294 0.963 0.815
0.796 0.466 0.566
0.295 0.963 0.314
0.203 0.538 0.935
0.797 0.462 0.065
0.706 0.037 0.185
0.204 0.534 0.434
0.705 0.037 0.686
```

Crystal system: triclinic
Energy relative to the lowest polymorph listed for this composition (meV per atom): 20
Fermi-level density of states (states/eV/cell): 5.3
Space-group type: P-1, No. 2
Energy of formation from the pure elements (eV per atom): -0.125

***

Entry 2:
DFT (PBE) results for a geometry-optimized Er3CuIr2 structure.

The structure in POSCAR format:
```
Er3CuIr2
1.0
4.820 0.000 0.000
-2.410 4.174 0.000
0.000 0.000 11.822
Er Cu Ir
6 2 4
direct
0.333 0.667 0.417
0.000 0.000 0.247
0.667 0.333 0.081
0.000 0.000 0.753
0.667 0.333 0.583
0.333 0.667 0.919
0.333 0.667 0.668
0.667 0.333 0.332
0.000 0.000 0.500
0.333 0.667 0.170
0.667 0.333 0.830
0.000 0.000 0.000
```

Crystal system: trigonal
Fermi-level density of states (states/eV/cell): 6.3
Space-group type: P-3m1, No. 164
Energy of formation from the pure elements (eV per atom): -0.733

***

Number 1: volume 8.8 Å³ per atom, total energy -0.4879 Ry/atom. Number 2: volume 19.8 Å³ per atom, total energy -0.4888 Ry/atom.